(1)
The following is a GGA-PBE calculation of a relaxed SmZrTc crystal, from the Open Quantum Materials Database.

Values from the calculation:
**V**: 23.8 Å³/atom
**Calculated total energy**: -7.189 eV/atom
**Calculated formation energy**: 2.1 eV/f.u.
**Symmetry**: F-43m
**E above lowest polymorph**: 0 meV per atom

Unit cell a=4.6597 b=4.6597 c=4.6597 alpha=60.00 beta=60.00 gamma=60.00
Last column: nearest neighbours and their distance in Å.
Element x y z (fractional)
1 Sm 0.2500 0.2500 0.2500  4 Zr 2.85
2 Tc 0.7500 0.7500 0.7500  4 Zr 2.85
3 Zr 0.0000 0.0000 0.0000  4 Sm 2.85, 4 Tc 2.85

(2)
The following is a GGA-PBE calculation of a relaxed ZrZnCoGe crystal, from the Open Quantum Materials Database.

Values from the calculation:
**V**: 15.3 Å³/atom
**Calculated total energy**: -5.554 eV/atom
**Symmetry**: F-43m
**E above lowest polymorph**: 0 meV per atom

Unit cell a=4.4199 b=4.4199 c=4.4199 alpha=60.00 beta=60.00 gamma=60.00
Last column: nearest neighbours and their distance in Å.
Element x y z (fractional)
1 Co 0.7500 0.7500 0.7500  4 Zr 2.71, 4 Ge 2.71
2 Ge 0.0000 0.0000 0.0000  4 Co 2.71, 4 Zn 2.71
3 Zn 0.2500 0.2500 0.2500  4 Zr 2.71, 4 Ge 2.71
4 Zr 0.5000 0.5000 0.5000  4 Co 2.71, 4 Zn 2.71

(3)
The following is a GGA-PBE calculation of a relaxed LuNb2Bi crystal, from the Open Quantum Materials Database.

Values from the calculation:
**V**: 21.4 Å³/atom
**Calculated total energy**: -7.052 eV/atom
**Symmetry**: F-43m

Unit cell a=4.9468 b=4.9468 c=4.9468 alpha=60.00 beta=60.00 gamma=60.00
Last column: nearest neighbours and their distance in Å.
Element x y z (fractional)
1 Bi 0.5000 0.5000 0.5000  4 Nb 3.03, 4 Lu 3.03
2 Lu 0.2500 0.2500 0.2500  4 Nb 3.03, 4 Bi 3.03
3 Nb 0.0000 0.0000 0.0000  4 Nb 3.03, 4 Lu 3.03
4 Nb 0.7500 0.7500 0.7500  4 Nb 3.03, 4 Bi 3.03

(4)
The following is a GGA-PBE calculation of a relaxed AcPuOs crystal, from the Open Quantum Materials Database.

Values from the calculation:
**V**: 29.0 Å³/atom
**Calculated total energy**: -9.679 eV/atom
**Calculated formation energy**: 0.4 eV/f.u.
**Symmetry**: F-43m
**E above lowest polymorph**: 0 meV per atom

Unit cell a=4.9741 b=4.9741 c=4.9741 alpha=60.00 beta=60.00 gamma=60.00
Last column: nearest neighbours and their distance in Å.
Element x y z (fractional)
1 Ac 0.2500 0.2500 0.2500  4 Os 3.05
2 Os 0.0000 0.0000 0.0000  4 Ac 3.05, 4 Pu 3.05
3 Pu 0.7500 0.7500 0.7500  4 Os 3.05

(5)
The following is a GGA-PBE calculation of a relaxed Sm2B4IrPt4 crystal, from the Open Quantum Materials Database.

Values from the calculation:
**V**: 14.7 Å³/atom
**Calculated total energy**: -6.848 eV/atom
**Symmetry**: Fmmm

Unit cell a=7.8772 b=6.7728 c=5.5381 alpha=78.86 beta=57.52 gamma=43.61
Last column: nearest neighbours and their distance in Å.
Element x y z (fractional)
1 B 0.2824 0.9798 0.0202  1 Ir 2.19, 4 Pt 2.22-2.32
2 B 0.0202 0.7176 0.2824  1 Ir 2.19, 4 Pt 2.22-2.32
3 B 0.9798 0.2824 0.7176  1 Ir 2.19, 4 Pt 2.22-2.32
4 B 0.7176 0.0202 0.9798  1 Ir 2.19, 4 Pt 2.22-2.32
5 Ir 0.0000 0.0000 0.0000  4 B 2.19
6 Pt 0.5000 0.5000 0.0000  4 B 2.32
7 Pt 0.2500 0.2500 0.2500  4 B 2.22
8 Pt 0.0000 0.0000 0.5000  4 B 2.32
9 Pt 0.7500 0.7500 0.7500  4 B 2.22
10 Sm 0.6406 0.6406 0.3594  8 B 3.07-3.38, 8 Pt 3.08-3.27, 2 Ir 3.21
11 Sm 0.3594 0.3594 0.6406  8 B 3.07-3.38, 8 Pt 3.08-3.27, 2 Ir 3.21

(6)
The following is a GGA-PBE calculation of a relaxed NdSmPO crystal, from the Open Quantum Materials Database.

Values from the calculation:
**V**: 23.9 Å³/atom
**Calculated total energy**: -6.909 eV/atom
**Symmetry**: Pmc2_1
**E above lowest polymorph**: 0 meV per atom

Unit cell a=4.3075 b=7.8464 c=5.6535 alpha=90.00 beta=90.00 gamma=90.00
Last column: nearest neighbours and their distance in Å.
Element x y z (fractional)
1 Nd 0.0000 0.1312 0.4672  2 O 2.40-2.51
2 Nd 0.0000 0.8688 0.9672  2 O 2.40-2.51
3 O 0.0000 0.8283 0.4079  2 Sm 2.37, 2 Nd 2.40-2.51
4 O 0.0000 0.1717 0.9079  2 Sm 2.37, 2 Nd 2.40-2.51
5 P 0.5000 0.3479 0.4396  2 Nd 2.75, 3 Sm 2.79-2.86
6 P 0.5000 0.6521 0.9396  2 Nd 2.75, 3 Sm 2.79-2.86
7 Sm 0.5000 0.7031 0.4393  2 O 2.37
8 Sm 0.5000 0.2969 0.9393  2 O 2.37

(7)
The following is a GGA-PBE calculation of a relaxed NaHfGaPd crystal, from the Open Quantum Materials Database.

Values from the calculation:
**V**: 17.2 Å³/atom
**Calculated total energy**: -5.087 eV/atom
**Symmetry**: F-43m
**E above lowest polymorph**: 0 meV per atom

Unit cell a=4.5966 b=4.5966 c=4.5966 alpha=60.00 beta=60.00 gamma=60.00
Last column: nearest neighbours and their distance in Å.
Element x y z (fractional)
1 Ga 0.5000 0.5000 0.5000  4 Pd 2.81, 4 Na 2.81
2 Hf 0.0000 0.0000 0.0000  4 Pd 2.81, 4 Na 2.81
3 Na 0.7500 0.7500 0.7500  4 Ga 2.81, 4 Hf 2.81
4 Pd 0.2500 0.2500 0.2500  4 Hf 2.81, 4 Ga 2.81

(8)
The following is a GGA-PBE calculation of a relaxed BaDySi4Os2 crystal, from the Open Quantum Materials Database.

Values from the calculation:
**V**: 19.5 Å³/atom
**Calculated total energy**: -6.833 eV/atom
**Symmetry**: Pm

Unit cell a=4.6081 b=4.1262 c=8.4003 alpha=90.00 beta=102.33 gamma=90.00
Last column: nearest neighbours and their distance in Å.
Element x y z (fractional)
1 Ba 0.4197 0.0000 0.3068  9 Si 3.13-3.33, 2 Os 3.41
2 Dy 0.5904 0.5000 0.7098  7 Si 2.94-3.26, 3 Os 3.28-3.29
3 Os 0.8741 0.5000 0.1040  5 Si 2.40-2.55
4 Os 0.1168 0.0000 0.8817  5 Si 2.34-2.49
5 Si 0.3285 0.5000 0.0003  4 Os 2.41-2.48, 2 Si 2.60
6 Si 0.9680 0.5000 0.4144  2 Si 2.55, 1 Os 2.55
7 Si 0.0383 0.0000 0.5969  1 Os 2.34, 2 Si 2.55
8 Si 0.6642 0.0000 0.9861  4 Os 2.40-2.49, 2 Si 2.60

What did the second record say?
The following is a GGA-PBE calculation of a relaxed ZrZnCoGe crystal, from the Open Quantum Materials Database.

Values from the calculation:
**V**: 15.3 Å³/atom
**Calculated total energy**: -5.554 eV/atom
**Symmetry**: F-43m
**E above lowest polymorph**: 0 meV per atom

Unit cell a=4.4199 b=4.4199 c=4.4199 alpha=60.00 beta=60.00 gamma=60.00
Last column: nearest neighbours and their distance in Å.
Element x y z (fractional)
1 Co 0.7500 0.7500 0.7500  4 Zr 2.71, 4 Ge 2.71
2 Ge 0.0000 0.0000 0.0000  4 Co 2.71, 4 Zn 2.71
3 Zn 0.2500 0.2500 0.2500  4 Zr 2.71, 4 Ge 2.71
4 Zr 0.5000 0.5000 0.5000  4 Co 2.71, 4 Zn 2.71

> The highest V belongs to which entry?

AcPuOs